[1]
## K2SiHg (PBE)

Data for a geometry-optimized K2SiHg structure.

Results
Polymorph energy (0 for the lowest one) in eV per atom: 0.3124
E_form (uncorrected) in eV per atom: 0.297

abc: 3.3606 5.4395 6.9725
angles: 90.00 90.00 90.00
Last column: nearest neighbours and their distance in Å.
Sites, in units of the cell vectors:
Hg  0.5000  0.5000  0.7666  5 K 3.25-3.44, 2 Hg 3.36
K  0.0000  0.0000  0.9501  1 Si 3.26, 2 K 3.36, 4 Hg 3.44
K  0.5000  0.5000  0.3004  1 Hg 3.25, 2 K 3.36, 4 Si 3.44
Si  0.0000  0.0000  0.4829  5 K 3.26-3.44, 2 Si 3.36

---

[2]
## AlCu5Si2 (PBE)

Data for a geometry-optimized AlCu5Si2 structure.

Results
Polymorph energy (0 for the lowest one) in eV per atom: 0.1258
E_form (uncorrected) in eV per atom: 0.066

abc: 5.8266 5.8266 5.8266
angles: 142.80 105.20 86.63
Last column: nearest neighbours and their distance in Å.
Sites, in units of the cell vectors:
Al  0.0000  0.0000  0.0000  4 Si 2.64
Cu  0.5000  0.0000  0.5000  2 Si 2.37, 8 Cu 2.61
Cu  0.8345  0.6538  0.1806  3 Si 2.33-2.49, 4 Cu 2.56-2.61
Cu  0.1655  0.3462  0.8194  3 Si 2.33-2.49, 4 Cu 2.56-2.61
Cu  0.4732  0.6538  0.8194  3 Si 2.33-2.49, 4 Cu 2.56-2.61
Cu  0.5268  0.3462  0.1806  3 Si 2.33-2.49, 4 Cu 2.56-2.61
Si  0.7790  0.2790  0.5000  7 Cu 2.33-2.49
Si  0.2210  0.7210  0.5000  7 Cu 2.33-2.49

---

[3]
## HoFeTcGe3 (PBE)

Data for a geometry-optimized HoFeTcGe3 structure.

Results
Calculated formation energy in kcal/mol of atoms: -3.09

abc: 5.6052 7.7290 6.6171
angles: 125.73 90.00 90.00
Last column: nearest neighbours and their distance in Å.
Sites, in units of the cell vectors:
Ho  0.7500  0.2456  0.4911  2 Ge 2.81, 1 Fe 2.96
Ho  0.2500  0.7544  0.5089  2 Ge 2.81, 1 Fe 2.96
Fe  0.2500  0.0300  0.0601  5 Ge 2.19-2.35
Fe  0.7500  0.9700  0.9399  5 Ge 2.19-2.35
Tc  0.2500  0.4489  0.8978  5 Ge 2.31-2.50
Tc  0.7500  0.5511  0.1022  5 Ge 2.31-2.50
Ge  0.2500  0.2335  0.4670  1 Fe 2.19, 1 Tc 2.31
Ge  0.0000  0.2412  0.0000  2 Fe 2.35, 2 Tc 2.50
Ge  0.5000  0.7588  0.0000  2 Fe 2.35, 2 Tc 2.50
Ge  0.5000  0.2412  0.0000  2 Fe 2.35, 2 Tc 2.50
Ge  0.0000  0.7588  0.0000  2 Fe 2.35, 2 Tc 2.50
Ge  0.7500  0.7665  0.5330  1 Fe 2.19, 1 Tc 2.31

---

Which formula does entry 3 have? HoFeTcGe3

---

Copy entry 1 word for word.
## K2SiHg (PBE)

Data for a geometry-optimized K2SiHg structure.

Results
Polymorph energy (0 for the lowest one) in eV per atom: 0.3124
E_form (uncorrected) in eV per atom: 0.297

abc: 3.3606 5.4395 6.9725
angles: 90.00 90.00 90.00
Last column: nearest neighbours and their distance in Å.
Sites, in units of the cell vectors:
Hg  0.5000  0.5000  0.7666  5 K 3.25-3.44, 2 Hg 3.36
K  0.0000  0.0000  0.9501  1 Si 3.26, 2 K 3.36, 4 Hg 3.44
K  0.5000  0.5000  0.3004  1 Hg 3.25, 2 K 3.36, 4 Si 3.44
Si  0.0000  0.0000  0.4829  5 K 3.26-3.44, 2 Si 3.36